This record from Alexandria via LeMat-Bulk describes KCeS2O8 after structural relaxation. The functional is PBE.

Lattice parameters (Å, degrees): 5.549 7.080 9.177 82.07 88.07 89.68
Space group P-1 (No. 2)
One atom of each set of equivalent atoms:
K  0.248  0.332  0.185 [2 per cell]
Ce  0.215  0.193  0.720 [2 per cell]
S  0.254  0.820  0.069 [2 per cell]
S  0.264  0.723  0.557 [2 per cell]
O  0.039  0.689  0.077 [2 per cell]
O  0.105  0.685  0.437 [2 per cell]
O  0.175  0.895  0.618 [2 per cell]
O  0.200  0.956  0.176 [2 per cell]
O  0.258  0.558  0.677 [2 per cell]
O  0.294  0.917  0.917 [2 per cell]
O  0.472  0.703  0.113 [2 per cell]
O  0.483  0.246  0.501 [2 per cell]

Summary:
The uncorrected formation energy comes out at -2048 meV per atom. As for the density of states at the Fermi level: 14.971 states/eV/cell. As for the excess energy over the best structure of this formula in the dataset: 0.0 meV/atom. The calculation puts the magnetic moment at 2.000 Bohr magnetons per cell.